Compound: KTlTe2I
Source: Alexandria
Functional: PBE
Structure: relaxed

## Properties
Formation energy from raw total energies (kJ/mol of formula units): -115
Space-group type: P4/mmm, No. 123

CIF file:
```
data_KTlTe2I
_chemical_formula_sum 'K1 Tl1 Te2 I1'
_space_group_name_H-M_alt 'P 1'
_space_group_IT_number 1
_cell_length_a 5.823
_cell_length_b 5.823
_cell_length_c 6.578
_cell_angle_alpha 90.00
_cell_angle_beta 90.00
_cell_angle_gamma 90.00
loop_
_space_group_symop_operation_xyz
'x,y,z'
loop_
_atom_site_label
_atom_site_type_symbol
_atom_site_fract_x
_atom_site_fract_y
_atom_site_fract_z
_atom_site_occupancy
I1 I 0.000 0.000 0.500 1
Tl1 Tl 0.000 0.000 0.000 1
Te1 Te 0.000 0.500 0.000 1
Te2 Te 0.500 0.000 0.000 1
K1 K 0.500 0.500 0.500 1
```

***

Compound: KTlTeI2
Source: Alexandria
Functional: PBE
Structure: relaxed

## Properties
Formation energy from raw total energies (kJ/mol of formula units): -227
Space-group type: P4/mmm, No. 123

CIF file:
```
data_KTlTeI2
_chemical_formula_sum 'K1 Tl1 Te1 I2'
_space_group_name_H-M_alt 'P 1'
_space_group_IT_number 1
_cell_length_a 6.346
_cell_length_b 6.346
_cell_length_c 5.796
_cell_angle_alpha 90.00
_cell_angle_beta 90.00
_cell_angle_gamma 90.00
loop_
_space_group_symop_operation_xyz
'x,y,z'
loop_
_atom_site_label
_atom_site_type_symbol
_atom_site_fract_x
_atom_site_fract_y
_atom_site_fract_z
_atom_site_occupancy
I1 I 0.000 0.500 0.000 1
I2 I 0.500 0.000 0.000 1
Tl1 Tl 0.000 0.000 0.000 1
Te1 Te 0.000 0.000 0.500 1
K1 K 0.500 0.500 0.500 1
```

***

Compound: KTlTe2I
Source: Alexandria
Functional: PBE
Structure: relaxed

## Properties
Formation energy from raw total energies (kJ/mol of formula units): 84
Space-group type: P4/mmm, No. 123

CIF file:
```
data_KTlTe2I
_chemical_formula_sum 'K1 Tl1 Te2 I1'
_space_group_name_H-M_alt 'P 1'
_space_group_IT_number 1
_cell_length_a 6.421
_cell_length_b 6.421
_cell_length_c 6.459
_cell_angle_alpha 90.00
_cell_angle_beta 90.00
_cell_angle_gamma 90.00
loop_
_space_group_symop_operation_xyz
'x,y,z'
loop_
_atom_site_label
_atom_site_type_symbol
_atom_site_fract_x
_atom_site_fract_y
_atom_site_fract_z
_atom_site_occupancy
I1 I 0.000 0.000 0.500 1
Tl1 Tl 0.500 0.500 0.500 1
Te1 Te 0.000 0.500 0.000 1
Te2 Te 0.500 0.000 0.000 1
K1 K 0.000 0.000 0.000 1
```

***

| no. | E_tot (Ry per atom) | DOS(E_F) (states/eV/f.u.) |
| --- | --- | --- |
| 1 | -0.184 | 8.328 |
| 2 | -0.177 | 5.538 |
| 3 | -0.153 | 5.969 |